Compound: Tl2CrIn
Source: Alexandria via LeMat-Bulk
Functional: GGA-PBE
Structure: optimized geometry

Cell lengths 8.356, 8.356, 6.669 Å; angles 51.21, 51.21, 90.00 degrees
Sites, in units of the cell vectors:
1 In 0.750 0.250 0.500
2 In 0.000 0.000 0.000
3 Tl 0.153 0.625 0.250
4 Tl 0.375 0.403 0.750
5 Tl 0.875 0.847 0.750
6 Tl 0.597 0.125 0.250
7 Cr 0.500 0.500 0.000
8 Cr 0.250 0.750 0.500

Values from the calculation:
Symmetry: No. 122
ΔE to the lowest computed polymorph: 0.183 eV/atom
Energy relative to the elements: 0.499 eV/atom
Magnetization: 8.55 μB/cell
Mass density: 8.9 Mg/m³